Record 1
## KYNiTe3 (PBE)

Data for a relaxed structure of KYNiTe3.

The structure in POSCAR format:
```
KYNiTe3
1.0
2.1105 -8.5902 0.0000
2.1105 8.5902 0.0000
0.0000 0.0000 10.5934
K Y Ni Te
2 2 2 6
Cartesian
2.1105 4.3438 7.9451 K
2.1105 -4.3438 2.6484 K
2.1105 0.0000 0.0000 Y
2.1105 0.0000 5.2967 Y
2.1105 8.4570 2.6484 Ni
2.1105 -8.4570 7.9451 Ni
2.1105 6.5769 0.9503 Te
2.1105 6.5769 4.3464 Te
2.1105 1.4424 2.6484 Te
2.1105 -1.4424 7.9451 Te
2.1105 -6.5769 6.2470 Te
2.1105 -6.5769 9.6431 Te
```

Summary:
The energy above the most stable polymorph in this dataset comes out at 16 meV per atom. Its space group is Cmcm.

***

Record 2
## NaSi4Pt4 (PBE)

Data for a relaxed structure of NaSi4Pt4.

The structure in POSCAR format:
```
NaSi4Pt4
1.0
-4.1721 4.1721 2.3315
4.1721 -4.1721 2.3315
4.1721 4.1721 -2.3315
Na Si Pt
1 4 4
Cartesian
0.0000 0.0000 0.0000 Na
3.2198 -0.9533 0.9419 Si
5.1245 0.9533 0.9419 Si
0.9533 3.2198 0.9419 Si
-0.9533 5.1245 0.9419 Si
5.6301 -1.4702 0.9422 Pt
2.7141 1.4702 0.9422 Pt
-1.4702 2.7141 0.9422 Pt
1.4702 5.6301 0.9422 Pt
```

Summary:
Its space group is I4.

***

Record 3
## HfSc3P4 (PBE)

Data for a relaxed structure of HfSc3P4.

The structure in POSCAR format:
```
HfSc3P4
1.0
3.7378 -5.2802 0.0000
3.7378 5.2802 0.0000
0.0000 0.0000 3.7334
Hf Sc P
1 3 4
Cartesian
0.0000 0.0000 0.0000 Hf
1.8689 2.6401 1.8667 Sc
1.8689 -2.6401 1.8667 Sc
3.7378 0.0000 0.0000 Sc
1.8556 0.0000 1.8667 P
3.7378 2.6514 0.0000 P
3.7378 -2.6514 0.0000 P
5.6200 0.0000 1.8667 P
```

Summary:
Its space group is Cmmm.

***

The records above give, respectively, calculated total energy values of -4.661, -5.966, -7.792 eV per atom.